# 1
Crystalline Cs3DyO3 at its relaxed geometry. Source: Alexandria, functional PBE.

Computed properties:
Symmetry: No. 12
DOS(E_F): 0.0 states/eV per cell
Energy relative to the elements, uncorrected: -1914.9 meV/atom
Final energy: -5.0631 eV per atom

Unit cell a=7.6252 b=7.6252 c=7.7607 alpha=95.66 beta=95.66 gamma=117.18
With the nearest neighbours (Å) after each atom.
Fractional positions:
Cs 0.2161 0.7839 0.0000  2 O 2.92
Cs 0.2625 0.7375 0.5000  4 O 3.15-3.28
Cs 0.3549 0.3549 0.1484  1 O 2.81
Cs 0.6451 0.6451 0.8516  1 O 2.81
Cs 0.7375 0.2625 0.5000  4 O 3.15-3.28
Cs 0.7839 0.2161 0.0000  2 O 2.92
Dy 0.1708 0.1708 0.6529  4 O 2.14-2.20
Dy 0.8292 0.8292 0.3471  4 O 2.14-2.20
O 0.1079 0.1079 0.3645  2 Dy 2.19-2.20
O 0.1626 0.4331 0.7669  1 Dy 2.14
O 0.4331 0.1626 0.7669  1 Dy 2.14
O 0.5669 0.8374 0.2331  1 Dy 2.14
O 0.8374 0.5669 0.2331  1 Dy 2.14
O 0.8921 0.8921 0.6355  2 Dy 2.19-2.20

***

# 2
Crystalline Cs5Dy2O5 at its relaxed geometry. Source: Alexandria, functional PBE.

Computed properties:
Symmetry: No. 12
DOS(E_F): 1.7 states/eV per cell
Energy relative to the elements, uncorrected: -1967.0 meV/atom
Final energy: -5.1556 eV per atom

Unit cell a=8.7847 b=8.7847 c=11.6444 alpha=93.13 beta=93.13 gamma=26.58
With the nearest neighbours (Å) after each atom.
Fractional positions:
Cs 0.0000 0.0000 0.0000  2 O 3.01
Cs 0.1440 0.1440 0.4485  5 O 3.04-3.38
Cs 0.2233 0.2233 0.7991  2 O 2.84
Cs 0.7767 0.7767 0.2009  2 O 2.84
Cs 0.8560 0.8560 0.5515  5 O 3.04-3.38
Dy 0.4485 0.4485 0.3275  4 O 2.10-2.23
Dy 0.5515 0.5515 0.6725  4 O 2.10-2.23
O 0.0354 0.0354 0.7499  2 Dy 2.23
O 0.3285 0.3285 0.3588  1 Dy 2.10
O 0.5000 0.5000 0.5000  2 Dy 2.15
O 0.6715 0.6715 0.6412  1 Dy 2.10
O 0.9646 0.9646 0.2501  2 Dy 2.23

***

# 3
Crystalline Cs3DyO3 at its relaxed geometry. Source: Alexandria, functional PBE.

Computed properties:
Symmetry: No. 14
DOS(E_F): 0.0 states/eV per cell
Energy relative to the elements, uncorrected: -1918.4 meV/atom
Final energy: -5.0666 eV per atom

Unit cell a=7.8728 b=15.2121 c=7.5609 alpha=90.00 beta=116.42 gamma=90.00
With the nearest neighbours (Å) after each atom.
Fractional positions:
Cs 0.0299 0.1881 0.3963  3 O 2.91-3.04
Cs 0.0299 0.3119 0.8963  3 O 2.91-3.04
Cs 0.2300 0.0422 0.9821  3 O 2.95-3.19
Cs 0.2300 0.4578 0.4821  3 O 2.95-3.19
Cs 0.4241 0.6995 0.6514  3 O 2.94-3.11
Cs 0.4241 0.8005 0.1514  3 O 2.94-3.11
Cs 0.5759 0.1995 0.8486  3 O 2.94-3.11
Cs 0.5759 0.3005 0.3486  3 O 2.94-3.11
Cs 0.7700 0.5422 0.5179  3 O 2.95-3.19
Cs 0.7700 0.9578 0.0179  3 O 2.95-3.19
Cs 0.9701 0.6881 0.1037  3 O 2.91-3.04
Cs 0.9701 0.8119 0.6037  3 O 2.91-3.04
Dy 0.3384 0.5607 0.0173  4 O 2.13-2.23
Dy 0.3384 0.9393 0.5173  4 O 2.13-2.23
Dy 0.6616 0.0607 0.4827  4 O 2.13-2.23
Dy 0.6616 0.4393 0.9827  4 O 2.13-2.23
O 0.1297 0.6337 0.7797  1 Dy 2.13
O 0.1297 0.8663 0.2797  1 Dy 2.13
O 0.3362 0.6007 0.2866  1 Dy 2.13
O 0.3362 0.8993 0.7866  1 Dy 2.13
O 0.3825 0.0810 0.4763  2 Dy 2.20-2.23
O 0.3825 0.4190 0.9763  2 Dy 2.20-2.23
O 0.6175 0.5810 0.0237  2 Dy 2.20-2.23
O 0.6175 0.9190 0.5237  2 Dy 2.20-2.23
O 0.6638 0.1007 0.2134  1 Dy 2.13
O 0.6638 0.3993 0.7134  1 Dy 2.13
O 0.8703 0.1337 0.7203  1 Dy 2.13
O 0.8703 0.3663 0.2203  1 Dy 2.13

***

# 4
Crystalline Cs5Dy2O6 at its relaxed geometry. Source: Alexandria, functional PBE.

Computed properties:
Symmetry: No. 15
DOS(E_F): 13.5 states/eV per cell
Energy relative to the elements, uncorrected: -1904.4 meV/atom
Final energy: -5.2291 eV per atom

Unit cell a=7.2901 b=7.2901 c=16.0618 alpha=96.82 beta=96.82 gamma=67.05
With the nearest neighbours (Å) after each atom.
Fractional positions:
Cs 0.0692 0.9308 0.7500  2 O 2.86
Cs 0.1863 0.7295 0.0141  3 O 2.98-3.23
Cs 0.2705 0.8137 0.4859  3 O 2.98-3.23
Cs 0.3118 0.3860 0.2984  2 O 2.80-3.09
Cs 0.3860 0.3118 0.7984  2 O 2.80-3.09
Cs 0.6140 0.6882 0.2016  2 O 2.80-3.09
Cs 0.6882 0.6140 0.7016  2 O 2.80-3.09
Cs 0.7295 0.1863 0.5141  3 O 2.98-3.23
Cs 0.8137 0.2705 0.9859  3 O 2.98-3.23
Cs 0.9308 0.0692 0.2500  2 O 2.86
Dy 0.1485 0.4074 0.5788  4 O 2.11-2.18
Dy 0.4074 0.1485 0.0788  4 O 2.11-2.18
Dy 0.5926 0.8515 0.9212  4 O 2.11-2.18
Dy 0.8515 0.5926 0.4212  4 O 2.11-2.18
O 0.0609 0.2428 0.6553  1 Dy 2.12
O 0.1045 0.3170 0.4463  2 Dy 2.17-2.18
O 0.2428 0.0609 0.1553  1 Dy 2.12
O 0.3170 0.1045 0.9463  2 Dy 2.17-2.18
O 0.4048 0.4742 0.6151  1 Dy 2.11
O 0.4742 0.4048 0.1151  1 Dy 2.11
O 0.5258 0.5952 0.8849  1 Dy 2.11
O 0.5952 0.5258 0.3849  1 Dy 2.11
O 0.6830 0.8955 0.0537  2 Dy 2.17-2.18
O 0.7572 0.9391 0.8447  1 Dy 2.12
O 0.8955 0.6830 0.5537  2 Dy 2.17-2.18
O 0.9391 0.7572 0.3447  1 Dy 2.12